No. 1
VASP calculation (PBE) on a relaxed U2Ga3Ag crystal.

a = 5.6897 Å, b = 5.6897 Å, c = 8.3431 Å
α = 90.00°, β = 90.00°, γ = 120.00°
Closest atoms and distances in Å follow each position.
Positions (direct):
U  0.3333  0.6667  0.0965  1 U 2.56
U  0.3333  0.6667  0.4035  1 U 2.56
U  0.6667  0.3333  0.5965  1 U 2.56
U  0.6667  0.3333  0.9035  1 U 2.56
Ga  0.1755  0.3509  0.7500  4 Ga 2.69-3.00, 2 Ag 2.71
Ga  0.1755  0.8245  0.7500  4 Ga 2.69-3.00, 2 Ag 2.71
Ga  0.3509  0.1755  0.2500  4 Ga 2.69-3.00, 2 Ag 2.71
Ga  0.6491  0.8245  0.7500  4 Ga 2.69-3.00, 2 Ag 2.71
Ga  0.8245  0.1755  0.2500  4 Ga 2.69-3.00, 2 Ag 2.71
Ga  0.8245  0.6491  0.2500  4 Ga 2.69-3.00, 2 Ag 2.71
Ag  0.0000  0.0000  0.0000  6 Ga 2.71
Ag  0.0000  0.0000  0.5000  6 Ga 2.71

***

No. 2
VASP calculation (PBE) on a relaxed VGaAg crystal.

a = 3.1530 Å, b = 3.1530 Å, c = 9.3766 Å
α = 90.00°, β = 90.00°, γ = 90.00°
Closest atoms and distances in Å follow each position.
Positions (direct):
V  0.2500  0.2500  0.0618  4 V 2.51, 5 Ga 2.66-2.69
V  0.7500  0.7500  0.9382  4 V 2.51, 5 Ga 2.66-2.69
Ga  0.2500  0.2500  0.7777  5 V 2.66-2.69, 4 Ag 2.76
Ga  0.7500  0.7500  0.2223  5 V 2.66-2.69, 4 Ag 2.76
Ag  0.2500  0.2500  0.3954  4 Ga 2.76, 4 Ag 2.97
Ag  0.7500  0.7500  0.6046  4 Ga 2.76, 4 Ag 2.97

***

No. 3
VASP calculation (PBE) on a relaxed V3GaAg crystal.

a = 4.7346 Å, b = 4.7346 Å, c = 4.7346 Å
α = 90.00°, β = 90.00°, γ = 90.00°
Closest atoms and distances in Å follow each position.
Positions (direct):
V  0.0000  0.0000  0.5000  2 Ag 2.37
V  0.0000  0.5000  0.0000  2 Ag 2.37
V  0.5000  0.0000  0.0000  2 Ag 2.37
Ga  0.5000  0.5000  0.5000  12 V 3.35
Ag  0.0000  0.0000  0.0000  6 V 2.37

***

No. 4
VASP calculation (PBE) on a relaxed VGa2Ag crystal.

a = 4.0706 Å, b = 4.0706 Å, c = 3.7197 Å
α = 90.00°, β = 90.00°, γ = 90.00°
Closest atoms and distances in Å follow each position.
Positions (direct):
V  0.0000  0.0000  0.0000  8 Ga 2.76, 4 Ag 2.88
Ga  0.0000  0.5000  0.5000  4 V 2.76, 4 Ag 2.76, 4 Ga 2.88
Ga  0.5000  0.0000  0.5000  4 V 2.76, 4 Ag 2.76, 4 Ga 2.88
Ag  0.5000  0.5000  0.0000  8 Ga 2.76, 4 V 2.88

***

No. 5
VASP calculation (PBE) on a relaxed VGaAg crystal.

a = 4.8069 Å, b = 3.0100 Å, c = 13.0968 Å
α = 90.00°, β = 92.83°, γ = 90.00°
Closest atoms and distances in Å follow each position.
Positions (direct):
V  0.0000  0.0000  0.0000  2 V 2.42, 3 Ga 2.69-2.71
V  0.0188  0.5000  0.1451  2 V 2.42, 3 Ga 2.69-2.71
V  0.5000  0.5000  0.0000  2 V 2.42, 3 Ga 2.69-2.71
V  0.5188  0.0000  0.1451  2 V 2.42, 3 Ga 2.69-2.71
Ga  0.3308  0.0000  0.8384  3 V 2.69-2.71, 3 Ag 2.81-2.82, 6 Ga 2.84-3.01
Ga  0.3922  0.5000  0.3068  3 V 2.69-2.71, 3 Ag 2.81-2.83, 6 Ga 2.84-3.01
Ga  0.8308  0.5000  0.8384  3 V 2.69-2.71, 3 Ag 2.81-2.82, 6 Ga 2.84-3.01
Ga  0.8922  0.0000  0.3068  3 V 2.69-2.71, 3 Ag 2.81-2.83, 6 Ga 2.84-3.01
Ag  0.0642  0.5000  0.4801  3 Ga 2.81-2.83, 9 Ag 2.84-3.01
Ag  0.4608  0.5000  0.6653  3 Ga 2.81-2.82, 9 Ag 2.84-3.01
Ag  0.5642  0.0000  0.4801  3 Ga 2.81-2.83, 9 Ag 2.84-3.01
Ag  0.9608  0.0000  0.6653  3 Ga 2.81-2.82, 9 Ag 2.84-3.01

***

No. 6
VASP calculation (PBE) on a relaxed V3GaAg crystal.

a = 4.5202 Å, b = 4.5202 Å, c = 4.5202 Å
α = 90.00°, β = 90.00°, γ = 90.00°
Closest atoms and distances in Å follow each position.
Positions (direct):
V  0.0000  0.0000  0.5000  2 Ga 2.26
V  0.0000  0.5000  0.0000  2 Ga 2.26
V  0.5000  0.0000  0.0000  2 Ga 2.26
Ga  0.0000  0.0000  0.0000  6 V 2.26
Ag  0.5000  0.5000  0.5000  12 V 3.20

***

No. 7
VASP calculation (PBE) on a relaxed VGaAg2 crystal.

a = 3.8121 Å, b = 3.8121 Å, c = 19.7946 Å
α = 90.00°, β = 90.00°, γ = 90.00°
Closest atoms and distances in Å follow each position.
Positions (direct):
V  0.0000  0.0000  0.0000  4 Ga 2.70, 4 Ag 2.82
V  0.0000  0.5000  0.2500  4 Ga 2.70, 4 Ag 2.82
V  0.5000  0.0000  0.7500  4 Ga 2.70, 4 Ag 2.82
V  0.5000  0.5000  0.5000  4 Ga 2.70, 4 Ag 2.82
Ga  0.0000  0.0000  0.5000  4 V 2.70, 4 Ag 2.81
Ga  0.0000  0.5000  0.7500  4 V 2.70, 4 Ag 2.81
Ga  0.5000  0.0000  0.2500  4 V 2.70, 4 Ag 2.81
Ga  0.5000  0.5000  0.0000  4 V 2.70, 4 Ag 2.81
Ag  0.2479  0.2500  0.6250  4 Ag 2.68-2.71, 2 Ga 2.81, 2 V 2.82
Ag  0.2500  0.7479  0.8750  4 Ag 2.68-2.71, 2 Ga 2.81, 2 V 2.82
Ag  0.2500  0.7521  0.3750  4 Ag 2.68-2.71, 2 Ga 2.81, 2 V 2.82
Ag  0.2521  0.2500  0.1250  4 Ag 2.68-2.71, 2 Ga 2.81, 2 V 2.82
Ag  0.7479  0.7500  0.1250  4 Ag 2.68-2.71, 2 Ga 2.81, 2 V 2.82
Ag  0.7500  0.2479  0.3750  4 Ag 2.68-2.71, 2 Ga 2.81, 2 V 2.82
Ag  0.7500  0.2521  0.8750  4 Ag 2.68-2.71, 2 Ga 2.81, 2 V 2.82
Ag  0.7521  0.7500  0.6250  4 Ag 2.68-2.71, 2 Ga 2.81, 2 V 2.82

***

No. 8
VASP calculation (PBE) on a relaxed VGaAg2 crystal.

a = 2.7791 Å, b = 2.7791 Å, c = 30.9061 Å
α = 90.00°, β = 90.00°, γ = 120.00°
Closest atoms and distances in Å follow each position.
Positions (direct):
V  0.0000  0.0000  0.0000  2 Ag 2.67, 6 V 2.78
V  0.3333  0.6667  0.6667  2 Ag 2.67, 6 V 2.78
V  0.6667  0.3333  0.3333  2 Ag 2.67, 6 V 2.78
Ga  0.0000  0.0000  0.5000  6 Ga 2.78, 6 Ag 2.95
Ga  0.3333  0.6667  0.1667  6 Ga 2.78, 6 Ag 2.95-2.96
Ga  0.6667  0.3333  0.8333  6 Ga 2.78, 6 Ag 2.95-2.96
Ag  0.0000  0.0000  0.0864  1 V 2.67, 6 Ag 2.78, 3 Ga 2.96
Ag  0.0000  0.0000  0.9136  1 V 2.67, 6 Ag 2.78, 3 Ga 2.96
Ag  0.3333  0.6667  0.5803  1 V 2.67, 6 Ag 2.78, 3 Ga 2.95
Ag  0.3333  0.6667  0.7530  1 V 2.67, 6 Ag 2.78, 3 Ga 2.95
Ag  0.6667  0.3333  0.2470  1 V 2.67, 6 Ag 2.78, 3 Ga 2.95
Ag  0.6667  0.3333  0.4197  1 V 2.67, 6 Ag 2.78, 3 Ga 2.95

***

no.,calculated total energy (eV/atom),spin magnetization (Bohr magnetons per cell)
1,-5.905,9.7
2,-5.094,0.0
3,-4.985,4.4
4,-4.525,0.0
5,-5.033,0.0
6,-5.468,2.0
7,-4.062,8.1
8,-4.038,0.0